10
Lattice="-0.2430 1.4713 3.9289 -8.8476 0.5849 -0.7663 1.3692 -9.6807 1.4624" Properties=species:S:1:pos:R:3 comment="Sm4PI5 | Alexandria | PBE | relaxed" magmom_total_mub_per_cell=0.000 e_form_raw_kcal_per_mol_atoms=-31.78 volume_a3_per_cell=352 e_tot_ev_per_atom=-4.5816 pbc="T T T"
Sm -7.3256 -5.8352 1.7320
Sm -7.0154 0.4494 -0.6022
Sm -0.3957 -1.7892 2.8930
Sm -0.7059 -8.0739 5.2273
P -0.1215 0.7356 1.9644
I -5.1340 -4.8640 3.7513
I -0.8593 -5.0428 4.0827
I -6.8621 -2.5817 0.5424
I -4.5453 1.0281 1.5813
I -2.5874 -2.7605 0.8737